No. 1
Rb3TlF6 | GGA-PBE | relaxed

Summary:
Its space group is No. 139.

Structure (POSCAR):
```
Rb3TlF6
1.0
-0.5775 -6.6076 2.1122
6.6325 -1.0872 -1.8122
-1.5707 5.1707 4.3878
F Rb Tl
6 3 1
direct
0.0000 0.3100 0.3100
0.6900 0.0000 0.6900
0.7676 0.7676 0.0000
0.0000 0.6900 0.6900
0.3100 0.0000 0.3100
0.2324 0.2324 0.0000
0.7500 0.2500 0.5000
0.5000 0.5000 0.0000
0.2500 0.7500 0.5000
0.0000 0.0000 0.0000
```

=====

No. 2
RbTlF3 | GGA-PBE | relaxed

Summary:
Its space group is No. 1.

Structure (POSCAR):
```
RbTlF3
1.0
-1.0391 3.7426 -2.1915
-4.9794 -1.7333 5.7782
6.0366 3.6577 1.6415
F Tl Rb
6 2 2
direct
0.6496 0.3570 0.0132
0.2576 0.6819 0.2851
0.0257 0.2372 0.1710
0.0091 0.0417 0.7397
0.0673 0.3670 0.6574
0.6143 0.6655 0.9281
0.4525 0.9521 0.8942
0.1956 0.4048 0.9640
0.9175 0.9460 0.3317
0.7035 0.4895 0.4810
```

=====

No. 3
RbTl3F6 | GGA-PBE | relaxed

Summary:
Its space group is No. 14.

Structure (POSCAR):
```
RbTl3F6
1.0
6.4640 0.0000 -0.0218
0.0000 7.0530 0.0000
-0.1003 0.0000 9.4650
F Rb Tl
12 2 6
direct
0.7958 0.6558 0.9752
0.7042 0.1558 0.5248
0.3353 0.7497 0.0835
0.6082 0.4227 0.2162
0.1082 0.0773 0.7162
0.8353 0.7503 0.5835
0.1647 0.2497 0.4165
0.2042 0.3442 0.0248
0.6647 0.2503 0.9165
0.8918 0.9227 0.2838
0.2958 0.8442 0.4752
0.3918 0.5773 0.7838
0.0000 0.0000 0.0000
0.5000 0.5000 0.5000
0.4905 0.0419 0.2676
0.5000 0.5000 0.0000
0.9905 0.4581 0.7676
0.0095 0.5419 0.2324
0.5095 0.9581 0.7324
0.0000 0.0000 0.5000
```

=====

No. 4
Rb3TlF4 | GGA-PBE | relaxed

Summary:
As for the excess energy over the best structure of this formula in the dataset: 23 meV/atom. Its space group is No. 31.

Structure (POSCAR):
```
Rb3TlF4
1.0
-3.1651 -0.2260 4.7945
1.0121 -7.8091 0.3001
8.1554 1.2662 5.4436
F Tl Rb
8 2 6
direct
0.6248 0.1796 0.0000
0.5537 0.6732 0.7525
0.0537 0.3268 0.7475
0.0558 0.8488 0.0000
0.5537 0.6732 0.2475
0.5558 0.1512 0.5000
0.0537 0.3268 0.2525
0.1248 0.8204 0.5000
0.5594 0.8170 0.5000
0.0594 0.1830 0.0000
0.0556 0.6774 0.2484
0.5556 0.3226 0.2516
0.0567 0.1649 0.5000
0.5567 0.8351 0.0000
0.0556 0.6774 0.7516
0.5556 0.3226 0.7484
```

=====

The records above yield formation energy (no corrections) values of -2380, -2188, -2057, -2415 meV/atom, respectively.
The records above yield DOS(E_F) values of 0.00, 0.00, 0.00, 0.00 states/eV per cell, respectively.